Compound: LiHo3Np4S8
Source: the Alexandria database
Functional: PBE
Structure: relaxed

Results
V	20.889	Å³ per atom
mass density	8.477	Mg/m³
electronic total energy	-7.895	eV per atom
raw formation energy	-1.618	eV per atom
symmetry	R-3m (166)
size of the total moment	1.123	μB/atom
density of states at the Fermi level	34.0	states/eV/f.u.

Lattice parameters (Å, degrees): 7.7923 7.7923 7.7923 59.95 59.95 59.95
With the nearest neighbours (Å) after each atom.
Element x y z (fractional)
Li 0.0000 0.0000 0.0000  6 S 2.71
Ho 0.0000 0.5000 0.5000  6 S 2.74-2.75
Ho 0.5000 0.0000 0.5000  6 S 2.74-2.75
Ho 0.5000 0.5000 0.0000  6 S 2.74-2.75
Np 0.0000 0.0000 0.5000  6 S 2.76-2.77
Np 0.0000 0.5000 0.0000  6 S 2.76-2.77
Np 0.5000 0.0000 0.0000  6 S 2.76-2.77
Np 0.5000 0.5000 0.5000  6 S 2.80
S 0.2456 0.2456 0.7519  1 Li 2.71, 2 Ho 2.74, 3 Np 2.77-2.80
S 0.2456 0.7519 0.2456  1 Li 2.71, 2 Ho 2.74, 3 Np 2.77-2.80
S 0.2481 0.7544 0.7544  1 Li 2.71, 2 Ho 2.74, 3 Np 2.77-2.80
S 0.2508 0.2508 0.2508  3 Ho 2.75, 3 Np 2.76
S 0.7492 0.7492 0.7492  3 Ho 2.75, 3 Np 2.76
S 0.7519 0.2456 0.2456  1 Li 2.71, 2 Ho 2.74, 3 Np 2.77-2.80
S 0.7544 0.2481 0.7544  1 Li 2.71, 2 Ho 2.74, 3 Np 2.77-2.80
S 0.7544 0.7544 0.2481  1 Li 2.71, 2 Ho 2.74, 3 Np 2.77-2.80